[1]
Tb8Te2Pd3 | PBE | optimized geometry

a b c (Å): 8.809 8.809 6.978
angles (deg): 104.86 104.86 54.62
Positions (direct):
Tb 0.094 0.094 0.369
Tb 0.142 0.649 0.096
Tb 0.351 0.858 0.904
Tb 0.400 0.400 0.594
Tb 0.600 0.600 0.406
Tb 0.649 0.142 0.096
Tb 0.858 0.351 0.904
Tb 0.906 0.906 0.631
Te 0.250 0.250 0.159
Te 0.750 0.750 0.841
Pd 0.242 0.758 0.500
Pd 0.500 0.500 0.000
Pd 0.758 0.242 0.500

Results
SG: C2/m, No. 12
Uncorrected formation energy in eV/atom: -0.631

---

[2]
La4YIn | PBE | optimized geometry

a b c (Å): 6.239 6.239 12.327
angles (deg): 105.89 105.89 60.58
Positions (direct):
La 0.151 0.699 0.506
La 0.253 0.405 0.751
La 0.301 0.849 0.994
La 0.405 0.253 0.251
La 0.595 0.747 0.749
La 0.699 0.151 0.006
La 0.747 0.595 0.249
La 0.849 0.301 0.494
Y 0.000 0.500 0.000
Y 0.500 0.000 0.500
In 0.092 0.908 0.250
In 0.908 0.092 0.750

Results
SG: C2/c, No. 15
ΔH_f (0 K) in meV per atom: -157
ΔE to the lowest computed polymorph in eV/f.u.: 0.02

---

[3]
KPrAu | PBE | optimized geometry

a b c (Å): 6.063 6.061 13.803
angles (deg): 90.00 90.15 90.00
Positions (direct):
K 0.250 0.000 0.137
K 0.250 0.500 0.863
K 0.750 0.000 0.863
K 0.750 0.500 0.137
Pr 0.249 0.500 0.397
Pr 0.251 0.000 0.603
Pr 0.749 0.000 0.397
Pr 0.751 0.500 0.603
Au 0.249 0.000 0.379
Au 0.251 0.500 0.621
Au 0.749 0.500 0.379
Au 0.751 0.000 0.621

Results
SG: C2/m, No. 12
ΔH_f (0 K) in meV per atom: -373

---

[4]
TiSeO2F | PBE | optimized geometry

a b c (Å): 3.937 3.937 4.051
angles (deg): 90.00 90.00 90.00
Positions (direct):
Ti 0.000 0.000 0.000
Se 0.500 0.500 0.500
O 0.000 0.500 0.000
O 0.500 0.000 0.000
F 0.000 0.000 0.500

Results
SG: P4/mmm, No. 123
Uncorrected formation energy in eV/atom: -1.547

---

[5]
ThInSbAu | PBE | optimized geometry

a b c (Å): 7.461 7.461 7.461
angles (deg): 90.00 90.00 90.00
Positions (direct):
Th 0.000 0.000 0.000
Th 0.000 0.500 0.500
Th 0.500 0.000 0.500
Th 0.500 0.500 0.000
In 0.000 0.000 0.500
In 0.000 0.500 0.000
In 0.500 0.000 0.000
In 0.500 0.500 0.500
Sb 0.250 0.250 0.750
Sb 0.250 0.750 0.250
Sb 0.750 0.250 0.250
Sb 0.750 0.750 0.750
Au 0.250 0.250 0.250
Au 0.250 0.750 0.750
Au 0.750 0.250 0.750
Au 0.750 0.750 0.250

Results
SG: F-43m, No. 216
Uncorrected formation energy in eV/atom: -0.407

---

[6]
NaCd2Hg6Pb | PBE | optimized geometry

a b c (Å): 6.130 6.165 8.257
angles (deg): 76.58 70.07 62.41
Positions (direct):
Na 0.000 0.000 0.000
Cd 0.566 0.068 0.757
Cd 0.956 0.451 0.214
Hg 0.012 0.549 0.821
Hg 0.044 0.184 0.594
Hg 0.060 0.752 0.406
Hg 0.460 0.938 0.155
Hg 0.476 0.485 0.995
Hg 0.565 0.232 0.365
Pb 0.517 0.668 0.587

Results
SG: P1, No. 1
ΔH_f (0 K) in meV per atom: -52

---

[7]
PmPr2Ag5 | PBE | optimized geometry

a b c (Å): 5.202 5.202 14.598
angles (deg): 90.00 90.00 90.00
Positions (direct):
Pm 0.000 0.000 0.000
Pm 0.500 0.500 0.500
Pr 0.000 0.000 0.271
Pr 0.000 0.000 0.729
Pr 0.500 0.500 0.229
Pr 0.500 0.500 0.771
Ag 0.000 0.000 0.500
Ag 0.000 0.500 0.113
Ag 0.000 0.500 0.387
Ag 0.000 0.500 0.613
Ag 0.000 0.500 0.887
Ag 0.500 0.000 0.113
Ag 0.500 0.000 0.387
Ag 0.500 0.000 0.613
Ag 0.500 0.000 0.887
Ag 0.500 0.500 0.000

Results
SG: I4/mmm, No. 139
ΔH_f (0 K) in meV per atom: -196

---

[8]
PuIn3Cu8 | PBE | optimized geometry

a b c (Å): 5.091 5.091 8.495
angles (deg): 90.00 90.00 120.00
Positions (direct):
Pu 0.000 0.000 0.000
In 0.000 0.000 0.375
In 0.667 0.333 0.493
In 0.667 0.333 0.860
Cu 0.166 0.332 0.678
Cu 0.166 0.834 0.678
Cu 0.333 0.667 0.430
Cu 0.333 0.667 0.927
Cu 0.501 0.001 0.186
Cu 0.501 0.499 0.186
Cu 0.668 0.834 0.678
Cu 0.999 0.499 0.186

Results
SG: P3m1, No. 156
ΔH_f (0 K) in meV per atom: -21
ΔE to the lowest computed polymorph in eV/f.u.: 0.24

---

[9]
NpPaS6 | PBE | optimized geometry

a b c (Å): 7.078 7.078 7.078
angles (deg): 57.01 57.01 57.01
Positions (direct):
Np 0.000 0.000 0.000
Pa 0.500 0.500 0.500
S 0.130 0.355 0.758
S 0.242 0.870 0.645
S 0.355 0.758 0.130
S 0.645 0.242 0.870
S 0.758 0.130 0.355
S 0.870 0.645 0.242

Results
SG: R-3, No. 148
Uncorrected formation energy in eV/atom: -0.846

---

[10]
VNCl4 | PBE | optimized geometry

a b c (Å): 5.984 7.647 8.424
angles (deg): 69.05 86.75 67.73
Positions (direct):
V 0.240 0.004 0.139
V 0.760 0.996 0.861
N 0.269 0.148 0.236
N 0.731 0.852 0.764
Cl 0.160 0.807 0.955
Cl 0.216 0.751 0.365
Cl 0.289 0.298 0.321
Cl 0.340 0.200 0.862
Cl 0.660 0.800 0.138
Cl 0.711 0.702 0.679
Cl 0.784 0.249 0.635
Cl 0.840 0.193 0.045

Results
SG: P-1, No. 2
Uncorrected formation energy in eV/atom: -0.685

---

[11]
Cs2CuSiCl6 | PBE | optimized geometry

a b c (Å): 7.218 7.218 7.218
angles (deg): 121.56 121.56 87.32
Positions (direct):
Cs 0.250 0.750 0.500
Cs 0.750 0.250 0.500
Cu 0.000 0.000 0.000
Si 0.500 0.500 0.000
Cl 0.251 0.251 0.503
Cl 0.251 0.749 0.000
Cl 0.268 0.268 0.000
Cl 0.732 0.732 0.000
Cl 0.749 0.251 0.000
Cl 0.749 0.749 0.497

Results
SG: I4/mmm, No. 139
Uncorrected formation energy in eV/atom: -1.193

---

[12]
Tl2TcO6 | PBE | optimized geometry

a b c (Å): 5.800 5.800 5.633
angles (deg): 115.05 115.05 62.00
Positions (direct):
Tl 0.248 0.248 0.325
Tl 0.752 0.752 0.675
Tc 0.500 0.500 0.000
O 0.190 0.636 0.710
O 0.316 0.316 0.013
O 0.364 0.810 0.290
O 0.636 0.190 0.710
O 0.684 0.684 0.987
O 0.810 0.364 0.290

Results
SG: C2/m, No. 12
Uncorrected formation energy in eV/atom: -0.808
ΔE to the lowest computed polymorph in eV/f.u.: 0.44

---

[13]
Te5Pd4Se | PBE | optimized geometry

a b c (Å): 8.769 8.769 7.644
angles (deg): 104.89 104.89 25.83
Positions (direct):
Te 0.000 0.000 0.000
Te 0.336 0.336 0.161
Te 0.337 0.337 0.639
Te 0.663 0.663 0.361
Te 0.664 0.664 0.839
Pd 0.169 0.169 0.604
Pd 0.497 0.497 0.249
Pd 0.503 0.503 0.751
Pd 0.831 0.831 0.396
Se 0.000 0.000 0.500

Results
SG: C2/m, No. 12
Uncorrected formation energy in eV/atom: -0.238

---

[14]
Cu3Te4As | PBE | optimized geometry

a b c (Å): 8.601 7.348 7.651
angles (deg): 90.00 90.00 90.00
Positions (direct):
Cu 0.000 0.190 0.000
Cu 0.237 0.343 0.490
Cu 0.263 0.657 0.990
Cu 0.500 0.810 0.500
Cu 0.737 0.657 0.990
Cu 0.763 0.343 0.490
Te 0.000 0.208 0.337
Te 0.000 0.836 0.989
Te 0.210 0.359 0.830
Te 0.290 0.641 0.330
Te 0.500 0.164 0.489
Te 0.500 0.792 0.837
Te 0.710 0.641 0.330
Te 0.790 0.359 0.830
As 0.000 0.829 0.332
As 0.500 0.171 0.832

Results
SG: Pmn2_1, No. 31
Uncorrected formation energy in eV/atom: 0.039

---

[15]
SrHoCuHg | PBE | optimized geometry

a b c (Å): 7.463 7.463 7.463
angles (deg): 90.00 90.00 90.00
Positions (direct):
Sr 0.000 0.000 0.000
Sr 0.000 0.500 0.500
Sr 0.500 0.000 0.500
Sr 0.500 0.500 0.000
Ho 0.000 0.000 0.500
Ho 0.000 0.500 0.000
Ho 0.500 0.000 0.000
Ho 0.500 0.500 0.500
Cu 0.250 0.250 0.250
Cu 0.250 0.750 0.750
Cu 0.750 0.250 0.750
Cu 0.750 0.750 0.250
Hg 0.250 0.250 0.750
Hg 0.250 0.750 0.250
Hg 0.750 0.250 0.250
Hg 0.750 0.750 0.750

Results
SG: F-43m, No. 216
ΔH_f (0 K) in meV per atom: -200

---

[16]
SrTlZn2Pd | PBE | optimized geometry

a b c (Å): 4.943 4.943 5.270
angles (deg): 90.00 90.00 90.00
Positions (direct):
Sr 0.000 0.000 0.000
Tl 0.500 0.500 0.000
Zn 0.000 0.500 0.500
Zn 0.500 0.000 0.500
Pd 0.500 0.500 0.500

Results
SG: P4/mmm, No. 123
ΔH_f (0 K) in meV per atom: -209

---

[17]
Sr2In2Sb | PBE | optimized geometry

a b c (Å): 4.201 4.201 19.749
angles (deg): 90.00 90.00 90.00
Positions (direct):
Sr 0.000 0.000 0.093
Sr 0.000 0.000 0.907
Sr 0.500 0.500 0.407
Sr 0.500 0.500 0.593
In 0.000 0.500 0.250
In 0.000 0.500 0.750
In 0.500 0.000 0.250
In 0.500 0.000 0.750
Sb 0.000 0.000 0.500
Sb 0.500 0.500 0.000

Results
SG: I4/mmm, No. 139
Uncorrected formation energy in eV/atom: -0.476
ΔE to the lowest computed polymorph in eV/f.u.: 0.00

---

[18]
NaSr3Li | PBE | optimized geometry

a b c (Å): 6.375 6.375 6.375
angles (deg): 90.00 90.00 90.00
Positions (direct):
Na 0.000 0.000 0.000
Sr 0.000 0.500 0.500
Sr 0.500 0.000 0.500
Sr 0.500 0.500 0.000
Li 0.500 0.500 0.500

Results
SG: Pm-3m, No. 221
ΔH_f (0 K) in meV per atom: 177
ΔE to the lowest computed polymorph in eV/f.u.: 0.74

---

[19]
LaTbMg2 | PBE | optimized geometry

a b c (Å): 7.761 7.761 7.761
angles (deg): 90.00 90.00 90.00
Positions (direct):
La 0.000 0.000 0.000
La 0.000 0.500 0.500
La 0.500 0.000 0.500
La 0.500 0.500 0.000
Tb 0.000 0.000 0.500
Tb 0.000 0.500 0.000
Tb 0.500 0.000 0.000
Tb 0.500 0.500 0.500
Mg 0.250 0.250 0.250
Mg 0.250 0.250 0.750
Mg 0.250 0.750 0.250
Mg 0.250 0.750 0.750
Mg 0.750 0.250 0.250
Mg 0.750 0.250 0.750
Mg 0.750 0.750 0.250
Mg 0.750 0.750 0.750

Results
SG: Fm-3m, No. 225
ΔH_f (0 K) in meV per atom: -104
ΔE to the lowest computed polymorph in eV/f.u.: 0.00

---

[20]
SrAc2GaO5 | PBE | optimized geometry

a b c (Å): 7.174 7.174 5.925
angles (deg): 90.00 90.00 90.00
Positions (direct):
Sr 0.000 0.000 0.000
Sr 0.500 0.500 0.000
Ac 0.176 0.324 0.500
Ac 0.324 0.824 0.500
Ac 0.676 0.176 0.500
Ac 0.824 0.676 0.500
Ga 0.000 0.500 0.000
Ga 0.500 0.000 0.000
O 0.000 0.000 0.500
O 0.136 0.636 0.238
O 0.136 0.636 0.762
O 0.364 0.136 0.238
O 0.364 0.136 0.762
O 0.500 0.500 0.500
O 0.636 0.864 0.238
O 0.636 0.864 0.762
O 0.864 0.364 0.238
O 0.864 0.364 0.762

Results
SG: P4/mbm, No. 127
Uncorrected formation energy in eV/atom: -2.530

---

Number 1: uncorrected energy -5.16 eV/atom, ρ 7.25 g/cm³. Number 2: uncorrected energy -4.98 eV/atom, ρ 6.36 g/cm³. Number 3: uncorrected energy -3.42 eV/atom, ρ 4.94 g/cm³. Number 4: uncorrected energy -6.18 eV/atom, ρ 4.70 g/cm³. Number 5: uncorrected energy -4.80 eV/atom, ρ 10.64 g/cm³. Number 6: uncorrected energy -0.92 eV/atom, ρ 10.64 g/cm³. Number 7: uncorrected energy -3.77 eV/atom, ρ 8.12 g/cm³. Number 8: uncorrected energy -4.63 eV/atom, ρ 9.55 g/cm³. Number 9: uncorrected energy -6.75 eV/atom, ρ 4.70 g/cm³. Number 10: uncorrected energy -4.82 eV/atom, ρ 2.07 g/cm³. Number 11: uncorrected energy -3.42 eV/atom, ρ 3.65 g/cm³. Number 12: uncorrected energy -5.79 eV/atom, ρ 6.88 g/cm³. Number 13: uncorrected energy -4.23 eV/atom, ρ 7.68 g/cm³. Number 14: uncorrected energy -3.65 eV/atom, ρ 5.33 g/cm³. Number 15: uncorrected energy -2.86 eV/atom, ρ 8.26 g/cm³. Number 16: uncorrected energy -2.57 eV/atom, ρ 6.82 g/cm³. Number 17: uncorrected energy -3.07 eV/atom, ρ 5.02 g/cm³. Number 18: uncorrected energy -1.48 eV/atom, ρ 1.88 g/cm³. Number 19: uncorrected energy -3.29 eV/atom, ρ 4.92 g/cm³. Number 20: uncorrected energy -6.72 eV/atom, ρ 7.53 g/cm³.